Entry 1:
The following is a GGA-PBE calculation of a relaxed structure of Pr2SmHo, from the Alexandria database.

Cell lengths 5.1697, 5.1697, 5.1170 Å; angles 90.00, 90.00, 90.00 degrees
Last column: nearest neighbours and their distance in Å.
Fractional coordinates of all 4 atoms:
Pr (0.0000, 0.5000, 0.0000)  4 Ho 3.64, 4 Sm 3.64, 4 Pr 3.66
Pr (0.5000, 0.0000, 0.0000)  4 Ho 3.64, 4 Sm 3.64, 4 Pr 3.66
Sm (0.0000, 0.0000, 0.5000)  8 Pr 3.64, 4 Ho 3.66
Ho (0.5000, 0.5000, 0.5000)  8 Pr 3.64, 4 Sm 3.66

As for the space group: P4/mmm (123). The energy of formation comes out at 17 meV/atom.

=====

Entry 2:
The following is a GGA-PBE calculation of a relaxed structure of Pr6Sm12Ho, from the Alexandria database.

Cell lengths 10.0195, 10.0195, 10.0195 Å; angles 112.47, 112.47, 112.47 degrees
Last column: nearest neighbours and their distance in Å.
Fractional coordinates of all 19 atoms:
Pr (0.0264, 0.7681, 0.7681)  5 Sm 3.46-3.83, 2 Pr 3.49
Pr (0.2319, 0.2319, 0.9736)  5 Sm 3.46-3.83, 2 Pr 3.49
Pr (0.2319, 0.9736, 0.2319)  5 Sm 3.46-3.83, 2 Pr 3.49
Pr (0.7681, 0.0264, 0.7681)  5 Sm 3.46-3.83, 2 Pr 3.49
Pr (0.7681, 0.7681, 0.0264)  5 Sm 3.46-3.83, 2 Pr 3.49
Pr (0.9736, 0.2319, 0.2319)  5 Sm 3.46-3.83, 2 Pr 3.49
Sm (0.0000, 0.3789, 0.6211)  4 Sm 3.10-3.24, 2 Pr 3.46
Sm (0.0000, 0.6211, 0.3789)  4 Sm 3.10-3.24, 2 Pr 3.46
Sm (0.2377, 0.2377, 0.5961)  4 Sm 3.24-3.57, 2 Pr 3.56
Sm (0.2377, 0.5961, 0.2377)  4 Sm 3.24-3.57, 2 Pr 3.56
Sm (0.3789, 0.0000, 0.6211)  4 Sm 3.10-3.24, 2 Pr 3.46
Sm (0.3789, 0.6211, 0.0000)  4 Sm 3.10-3.24, 2 Pr 3.46
Sm (0.4039, 0.7623, 0.7623)  4 Sm 3.24-3.57, 2 Pr 3.56
Sm (0.5961, 0.2377, 0.2377)  4 Sm 3.24-3.57, 2 Pr 3.56
Sm (0.6211, 0.0000, 0.3789)  4 Sm 3.10-3.24, 2 Pr 3.46
Sm (0.6211, 0.3789, 0.0000)  4 Sm 3.10-3.24, 2 Pr 3.46
Sm (0.7623, 0.4039, 0.7623)  4 Sm 3.24-3.57, 2 Pr 3.56
Sm (0.7623, 0.7623, 0.4039)  4 Sm 3.24-3.57, 2 Pr 3.56
Ho (0.5000, 0.5000, 0.5000)  6 Sm 3.65, 6 Pr 3.88

As for the space group: R-3m (166). The energy of formation comes out at 305 meV/atom.

=====

Entry 3:
The following is a GGA-PBE calculation of a relaxed structure of Pr2Sm5Ho4, from the Alexandria database.

Cell lengths 12.7505, 12.7505, 12.7505 Å; angles 164.08, 137.97, 45.21 degrees
Last column: nearest neighbours and their distance in Å.
Fractional coordinates of all 11 atoms:
Pr (0.2322, 0.2322, 0.0000)  1 Ho 3.19, 2 Sm 3.46, 2 Pr 3.53
Pr (0.7678, 0.7678, 0.0000)  1 Ho 3.19, 2 Sm 3.46, 2 Pr 3.53
Sm (0.1611, 0.3579, 0.8032)  3 Ho 3.46-3.51, 1 Pr 3.46, 3 Sm 3.53-3.60
Sm (0.4453, 0.6421, 0.8032)  3 Ho 3.46-3.51, 1 Pr 3.46, 3 Sm 3.53-3.60
Sm (0.5000, 0.0000, 0.5000)  4 Ho 3.36, 2 Sm 3.53
Sm (0.5547, 0.3579, 0.1968)  3 Ho 3.46-3.51, 1 Pr 3.46, 3 Sm 3.53-3.60
Sm (0.8388, 0.6421, 0.1968)  3 Ho 3.46-3.51, 1 Pr 3.46, 3 Sm 3.53-3.60
Ho (0.0965, 0.0965, 0.0000)  1 Pr 3.19, 6 Ho 3.35-3.53, 4 Sm 3.46
Ho (0.1871, 0.5000, 0.6871)  7 Ho 3.35-3.53, 4 Sm 3.36-3.51
Ho (0.8129, 0.5000, 0.3129)  7 Ho 3.35-3.53, 4 Sm 3.36-3.51
Ho (0.9035, 0.9035, 0.0000)  1 Pr 3.19, 6 Ho 3.35-3.53, 4 Sm 3.46

As for the space group: Immm (71). The energy of formation comes out at 180 meV/atom.

=====

Entry 4:
The following is a GGA-PBE calculation of a relaxed structure of Pr2Sm5Ho2, from the Alexandria database.

Cell lengths 6.2730, 6.2761, 8.1044 Å; angles 75.03, 82.56, 80.26 degrees
Last column: nearest neighbours and their distance in Å.
Fractional coordinates of all 9 atoms:
Pr (0.1115, 0.0548, 0.2759)  8 Sm 3.61-3.64, 3 Ho 3.61-3.63, 1 Pr 3.65
Pr (0.8885, 0.9452, 0.7241)  8 Sm 3.61-3.64, 3 Ho 3.61-3.63, 1 Pr 3.65
Sm (0.0000, 0.5000, 0.5000)  6 Sm 3.61-3.63, 4 Pr 3.62-3.64, 2 Ho 3.63
Sm (0.2228, 0.6119, 0.0551)  3 Pr 3.61-3.63, 4 Ho 3.61-3.63, 5 Sm 3.61-3.63
Sm (0.4451, 0.7213, 0.6119)  6 Sm 3.61-3.64, 3 Ho 3.61-3.63, 3 Pr 3.63-3.64
Sm (0.5549, 0.2787, 0.3881)  6 Sm 3.61-3.64, 3 Ho 3.61-3.63, 3 Pr 3.63-3.64
Sm (0.7772, 0.3881, 0.9449)  3 Pr 3.61-3.63, 4 Ho 3.61-3.63, 5 Sm 3.61-3.63
Ho (0.3346, 0.1675, 0.8341)  3 Pr 3.61-3.63, 1 Ho 3.61, 8 Sm 3.61-3.63
Ho (0.6654, 0.8325, 0.1659)  3 Pr 3.61-3.63, 1 Ho 3.61, 8 Sm 3.61-3.63

As for the space group: P-1 (2). The energy of formation comes out at 14 meV/atom.

=====

Entry 5:
The following is a GGA-PBE calculation of a relaxed structure of Pr3Sm7Ho, from the Alexandria database.

Cell lengths 7.8136, 7.8136, 6.4979 Å; angles 93.41, 93.41, 81.95 degrees
Last column: nearest neighbours and their distance in Å.
Fractional coordinates of all 11 atoms:
Pr (0.0000, 0.0000, 0.0000)  6 Sm 3.52-3.74, 4 Pr 3.70
Pr (0.1736, 0.8264, 0.5000)  7 Sm 3.34-3.61, 3 Pr 3.56-3.70
Pr (0.8264, 0.1736, 0.5000)  7 Sm 3.34-3.61, 3 Pr 3.56-3.70
Sm (0.0877, 0.4293, 0.2381)  6 Sm 3.39-3.79, 3 Pr 3.58-3.74, 1 Ho 3.78
Sm (0.2408, 0.2408, 0.7141)  5 Sm 3.39-3.57, 1 Ho 3.45, 3 Pr 3.52-3.54
Sm (0.4293, 0.0877, 0.2381)  6 Sm 3.39-3.79, 3 Pr 3.58-3.74, 1 Ho 3.78
Sm (0.5000, 0.5000, 0.5000)  2 Ho 3.25, 2 Pr 3.34, 2 Sm 3.46
Sm (0.5707, 0.9123, 0.7619)  6 Sm 3.39-3.79, 3 Pr 3.58-3.74, 1 Ho 3.78
Sm (0.7592, 0.7592, 0.2859)  5 Sm 3.39-3.57, 1 Ho 3.45, 3 Pr 3.52-3.54
Sm (0.9123, 0.5707, 0.7619)  6 Sm 3.39-3.79, 3 Pr 3.58-3.74, 1 Ho 3.78
Ho (0.5000, 0.5000, 0.0000)  4 Sm 3.25-3.45

As for the space group: C2/m (12). The energy of formation comes out at 229 meV/atom.

=====

Entry 6:
The following is a GGA-PBE calculation of a relaxed structure of PrSmHo, from the Alexandria database.

Cell lengths 10.4168, 10.4168, 5.5043 Å; angles 90.00, 90.00, 160.24 degrees
Last column: nearest neighbours and their distance in Å.
Fractional coordinates of all 6 atoms:
Pr (0.2059, 0.7941, 0.7500)  1 Sm 3.39, 6 Pr 3.57-3.75, 5 Ho 3.64-3.76
Pr (0.7941, 0.2059, 0.2500)  1 Sm 3.39, 6 Pr 3.57-3.75, 5 Ho 3.64-3.76
Sm (0.0407, 0.9593, 0.7500)  4 Sm 3.22-3.57, 1 Pr 3.39
Sm (0.9593, 0.0407, 0.2500)  4 Sm 3.22-3.57, 1 Pr 3.39
Ho (0.3835, 0.6165, 0.7500)  2 Ho 3.57, 6 Sm 3.63-3.69, 5 Pr 3.64-3.76
Ho (0.6165, 0.3835, 0.2500)  2 Ho 3.57, 6 Sm 3.63-3.69, 5 Pr 3.64-3.76

As for the space group: Cmcm (63). The energy of formation comes out at 43 meV/atom.

=====

Entry 7:
The following is a GGA-PBE calculation of a relaxed structure of Pr4SmHo7, from the Alexandria database.

Cell lengths 6.7635, 6.7635, 12.8670 Å; angles 114.87, 114.87, 52.02 degrees
Last column: nearest neighbours and their distance in Å.
Fractional coordinates of all 12 atoms:
Pr (0.1368, 0.1368, 0.2773)  7 Ho 3.40-3.70, 2 Pr 3.65
Pr (0.2769, 0.2769, 0.8334)  5 Ho 3.29-3.68, 2 Pr 3.65
Pr (0.7231, 0.7231, 0.1666)  5 Ho 3.29-3.68, 2 Pr 3.65
Pr (0.8632, 0.8632, 0.7227)  7 Ho 3.40-3.70, 2 Pr 3.65
Sm (0.5000, 0.5000, 0.5000)  4 Ho 2.97-3.15
Ho (0.0000, 0.0000, 0.5000)  2 Sm 2.97, 2 Ho 3.17
Ho (0.1324, 0.1324, 0.9953)  4 Ho 3.28-3.63, 5 Pr 3.29-3.60
Ho (0.2890, 0.2890, 0.5767)  1 Sm 3.15, 4 Ho 3.17-3.44, 4 Pr 3.38-3.40
Ho (0.4307, 0.4307, 0.1866)  4 Ho 3.29-3.63, 1 Pr 3.68
Ho (0.5693, 0.5693, 0.8134)  4 Ho 3.29-3.63, 1 Pr 3.68
Ho (0.7110, 0.7110, 0.4233)  1 Sm 3.15, 4 Ho 3.17-3.44, 4 Pr 3.38-3.40
Ho (0.8676, 0.8676, 0.0047)  4 Ho 3.28-3.63, 5 Pr 3.29-3.60

As for the space group: C2/m (12). The energy of formation comes out at 256 meV/atom.

=====

Entry 8:
The following is a GGA-PBE calculation of a relaxed structure of Pr3Sm8Ho3, from the Alexandria database.

Cell lengths 9.8121, 9.8121, 9.8121 Å; angles 145.97, 112.36, 77.93 degrees
Last column: nearest neighbours and their distance in Å.
Fractional coordinates of all 14 atoms:
Pr (0.0000, 0.0000, 0.0000)  4 Ho 3.62, 4 Pr 3.98, 4 Sm 4.02
Pr (0.1810, 0.6810, 0.5000)  2 Ho 3.54, 8 Sm 3.68-3.76
Pr (0.8190, 0.3190, 0.5000)  2 Ho 3.54, 8 Sm 3.68-3.76
Sm (0.1194, 0.2796, 0.8398)  6 Sm 3.33-3.59, 1 Ho 3.68, 2 Pr 3.68
Sm (0.2367, 0.8974, 0.3392)  4 Sm 3.13-3.39
Sm (0.4397, 0.2796, 0.1602)  6 Sm 3.33-3.59, 1 Ho 3.68, 2 Pr 3.68
Sm (0.4418, 0.1026, 0.3392)  4 Sm 3.13-3.39
Sm (0.5582, 0.8974, 0.6607)  4 Sm 3.13-3.39
Sm (0.5603, 0.7204, 0.8398)  6 Sm 3.33-3.59, 1 Ho 3.68, 2 Pr 3.68
Sm (0.7633, 0.1026, 0.6607)  4 Sm 3.13-3.39
Sm (0.8806, 0.7204, 0.1602)  6 Sm 3.33-3.59, 1 Ho 3.68, 2 Pr 3.68
Ho (0.2024, 0.5000, 0.7024)  1 Ho 3.25, 4 Pr 3.54-3.62, 4 Sm 3.60
Ho (0.5000, 0.5000, 0.0000)  2 Ho 3.25
Ho (0.7976, 0.5000, 0.2976)  1 Ho 3.25, 4 Pr 3.54-3.62, 4 Sm 3.60

As for the space group: Immm (71). The energy of formation comes out at 99 meV/atom.

=====

Entry 9:
The following is a GGA-PBE calculation of a relaxed structure of SrPrSmHo, from the Alexandria database.

Cell lengths 5.9495, 5.9495, 5.9495 Å; angles 60.00, 60.00, 60.00 degrees
Last column: nearest neighbours and their distance in Å.
Fractional coordinates of all 4 atoms:
Sr (0.0000, 0.0000, 0.0000)  4 Pr 3.64, 4 Sm 3.64
Pr (0.7500, 0.7500, 0.7500)  4 Ho 3.64, 4 Sr 3.64
Sm (0.2500, 0.2500, 0.2500)  4 Ho 3.64, 4 Sr 3.64
Ho (0.5000, 0.5000, 0.5000)  4 Pr 3.64, 4 Sm 3.64

As for the space group: F-43m (216). The energy of formation comes out at 218 meV/atom.

=====

Entry 10:
The following is a GGA-PBE calculation of a relaxed structure of TbPrSm5Ho2, from the Alexandria database.

Cell lengths 10.4922, 10.4922, 10.7367 Å; angles 90.00, 90.00, 148.73 degrees
Last column: nearest neighbours and their distance in Å.
Fractional coordinates of all 18 atoms:
Tb (0.0871, 0.9129, 0.5000)  5 Sm 3.08-3.34
Tb (0.9129, 0.0871, 0.0000)  5 Sm 3.08-3.34
Pr (0.2972, 0.7028, 0.0542)  2 Ho 3.48-3.77, 8 Sm 3.52-3.86, 2 Tb 3.72
Pr (0.7028, 0.2972, 0.5542)  2 Ho 3.48-3.77, 8 Sm 3.52-3.86, 2 Tb 3.72
Sm (0.0218, 0.9782, 0.7854)  2 Tb 3.19-3.34, 2 Sm 3.46-3.51, 2 Ho 3.52
Sm (0.1062, 0.8938, 0.0708)  5 Sm 3.46-3.77, 4 Ho 3.59-3.63, 1 Pr 3.86
Sm (0.2022, 0.7978, 0.7496)  3 Sm 3.44-3.67, 3 Pr 3.52-3.79, 3 Ho 3.55-3.82, 1 Tb 3.55
Sm (0.2177, 0.7823, 0.3518)  1 Tb 3.08, 1 Ho 3.36, 2 Sm 3.44
Sm (0.4828, 0.5172, 0.0701)  2 Tb 3.25, 3 Ho 3.42-3.61
Sm (0.5172, 0.4828, 0.5701)  2 Tb 3.25, 3 Ho 3.42-3.61
Sm (0.7823, 0.2177, 0.8518)  1 Tb 3.08, 1 Ho 3.36, 2 Sm 3.44
Sm (0.7978, 0.2022, 0.2496)  3 Sm 3.44-3.67, 3 Pr 3.52-3.79, 3 Ho 3.55-3.82, 1 Tb 3.55
Sm (0.8938, 0.1062, 0.5708)  5 Sm 3.46-3.77, 4 Ho 3.59-3.63, 1 Pr 3.86
Sm (0.9782, 0.0218, 0.2854)  2 Tb 3.19-3.34, 2 Sm 3.46-3.51, 2 Ho 3.52
Ho (0.3838, 0.6162, 0.3657)  9 Sm 3.36-3.75
Ho (0.3906, 0.6094, 0.7821)  7 Sm 3.42-3.82, 1 Pr 3.48, 2 Tb 3.70
Ho (0.6094, 0.3906, 0.2821)  7 Sm 3.42-3.82, 1 Pr 3.48, 2 Tb 3.70
Ho (0.6162, 0.3838, 0.8657)  9 Sm 3.36-3.75

As for the space group: Cmc2_1 (36). The energy of formation comes out at 149 meV/atom.